(1)
Computed, not measured: crystalline KRbSc2P at its relaxed geometry at the PBE-GGA level of DFT.

Cell: 5.435 5.435 5.664 Å, 90.00 90.00 90.00°
Space group P4/mmm (No. 123)
Symmetry-distinct sites (fractional):
K1 0.000 0.000 0.000 x1
Rb1 0.500 0.500 0.500 x1
Sc1 0.000 0.500 0.000 x2
P1 0.000 0.000 0.500 x1

Output
D(E_F) ... 6.90 states/eV/f.u.
Total moment ... 0.00 μB per atom
Formation energy ... 1.218 eV per atom

=====

(2)
Computed, not measured: crystalline Ba2PrThBi4 at its relaxed geometry at the PBE-GGA level of DFT.

Cell: 8.290 4.772 8.612 Å, 90.00 108.66 90.00°
Space group P2/m (No. 10)
Symmetry-distinct sites (fractional):
Ba1 0.000 0.000 0.000 x1
Ba2 0.500 0.500 0.000 x1
Pr1 0.000 0.500 0.500 x1
Th1 0.500 0.000 0.500 x1
Bi1 0.243 0.000 0.721 x2
Bi2 0.264 0.500 0.281 x2

Output
D(E_F) ... 6.40 states/eV/f.u.
Total moment ... 0.00 μB per atom
Formation energy ... -0.813 eV per atom

=====

(3)
Computed, not measured: crystalline LiOsRu at its relaxed geometry at the PBE-GGA level of DFT.

Cell: 5.725 5.725 5.725 Å, 90.00 90.00 90.00°
Space group F-43m (No. 216)
Symmetry-distinct sites (fractional):
Li1 0.000 0.000 0.000 x4
Os1 0.000 0.000 0.500 x4
Ru1 0.250 0.250 0.750 x4

Output
D(E_F) ... 3.21 states/eV/f.u.
Total moment ... 0.00 μB per atom
Formation energy ... 0.517 eV per atom

=====

(4)
Computed, not measured: crystalline Pr2Sm5Er5 at its relaxed geometry at the PBE-GGA level of DFT.

Cell: 15.244 5.075 11.362 Å, 90.00 116.55 90.00°
Space group C2/m (No. 12)
Symmetry-distinct sites (fractional):
Pr1 0.083 0.000 0.248 x4
Sm1 0.000 0.500 0.000 x2
Sm2 0.086 0.500 0.751 x4
Sm3 0.166 0.500 0.499 x4
Er1 0.000 0.000 0.500 x2
Er2 0.169 0.000 0.001 x4
Er3 0.249 0.000 0.751 x4

Output
D(E_F) ... 17.21 states/eV/f.u.
Total moment ... 0.00 μB per atom
Formation energy ... 0.020 eV per atom

=====

(5)
Computed, not measured: crystalline Ta3SiBi at its relaxed geometry at the PBE-GGA level of DFT.

Cell: 5.118 5.118 5.118 Å, 90.00 90.00 90.00°
Space group Pm-3m (No. 221)
Symmetry-distinct sites (fractional):
Ta1 0.000 0.000 0.500 x3
Si1 0.500 0.500 0.500 x1
Bi1 0.000 0.000 0.000 x1

Output
D(E_F) ... 8.11 states/eV/f.u.
Energy relative to the elements, uncorrected ... 247.21 kJ per mole of atoms
Total moment ... 0.00 μB per atom

=====

(6)
Computed, not measured: crystalline Be2NiTe at its relaxed geometry at the PBE-GGA level of DFT.

Cell: 3.8322 3.8322 13.4066 Å, 90.00 90.00 120.00°
Space group R-3m (No. 166, hexagonal axes)
Symmetry-distinct sites (fractional):
Be1 0.0000 0.0000 0.1963 x6
Ni1 0.0000 0.0000 0.5000 x3
Te1 0.0000 0.0000 0.0000 x3

Output
D(E_F) ... 2.72 states/eV/f.u.
Energy relative to the elements, uncorrected ... 23.53 kJ per mole of atoms
Total moment ... 0.00 μB per atom

=====

(7)
Computed, not measured: crystalline GePSe2N at its relaxed geometry at the PBE-GGA level of DFT.

Cell: 5.148 5.148 3.524 Å, 90.00 90.00 90.00°
Space group P4/mmm (No. 123)
Symmetry-distinct sites (fractional):
Ge1 0.000 0.000 0.000 x1
P1 0.500 0.500 0.500 x1
Se1 0.000 0.500 0.000 x2
N1 0.000 0.000 0.500 x1

Output
D(E_F) ... 3.04 states/eV/f.u.
Energy relative to the elements, uncorrected ... 93.59 kJ per mole of atoms
Total moment ... 0.00 μB per atom

=====

(8)
Computed, not measured: crystalline Nd2Cu3Sn4Pt at its relaxed geometry at the PBE-GGA level of DFT.

Cell: 4.497 4.497 10.756 Å, 90.00 90.00 90.00°
Space group P-4m2 (No. 115)
Symmetry-distinct sites (fractional):
Nd1 0.000 0.500 0.241 x2
Cu1 0.000 0.000 0.000 x1
Cu2 0.000 0.500 0.633 x2
Sn1 0.000 0.000 0.500 x1
Sn2 0.000 0.500 0.868 x2
Sn3 0.500 0.500 0.500 x1
Pt1 0.500 0.500 0.000 x1

Output
D(E_F) ... 4.59 states/eV/f.u.
Total moment ... 0.00 μB per atom
Formation energy ... -0.511 eV per atom